w) AlSbOF2: optimized geometry, PBE.

Output
The value obtained for the density of states at the Fermi level is 0.1 states/eV/cell.

Cell: 4.5851 4.5851 4.2670 Å, 90.00 90.00 90.00°
Last column: nearest neighbours and their distance in Å.
Positions (direct):
F: 0.5000 0.0000 0.0000  2 Sb 2.29
F: 0.0000 0.5000 0.0000  2 Sb 2.29
Al: 0.5000 0.5000 0.5000  8 F 3.13, 4 O 3.24
Sb: 0.0000 0.0000 0.0000  2 O 2.13, 4 F 2.29
O: 0.0000 0.0000 0.5000  2 Sb 2.13



x) AlSbOF2: optimized geometry, PBE.

Output
The value obtained for the density of states at the Fermi level is 1.4 states/eV/cell.

Cell: 4.3825 4.3825 3.4574 Å, 90.00 90.00 90.00°
Last column: nearest neighbours and their distance in Å.
Positions (direct):
F: 0.5000 0.0000 0.0000  2 Al 2.19
F: 0.0000 0.5000 0.0000  2 Al 2.19
O: 0.0000 0.0000 0.5000  2 Al 1.73
Al: 0.0000 0.0000 0.0000  2 O 1.73
Sb: 0.5000 0.5000 0.5000  8 F 2.79, 4 O 3.10



Quick look at relative energies in kJ/mol of atoms: w) 52.3; x) 0.0.